[1]
Here is a relaxed DySc4Pb5 crystal from the Alexandria database. Energies are from PBE-GGA.

## Properties
energy of formation from the pure elements = -0.208 eV per atom
ρ = 8.2 Mg/m³

Lattice parameters (Å, degrees): 9.5679 9.5679 6.0709 90.00 90.00 90.00
Last column: nearest neighbours and their distance in Å.
Space group I4 (No. 79)
One atom of each set of equivalent atoms:
Dy1 0.0000 0.0000 0.0000 (multiplicity 2)  6 Pb 3.03-3.16
Sc1 0.1096 0.7106 0.4968 (multiplicity 8)  6 Pb 2.96-3.05
Pb1 0.0000 0.0000 0.5001 (multiplicity 2)  4 Sc 2.96, 2 Dy 3.03-3.04
Pb2 0.0938 0.6833 0.9967 (multiplicity 8)  5 Sc 3.00-3.05, 1 Dy 3.16



[2]
Here is a relaxed Dy2ScPb9 crystal from the Alexandria database. Energies are from PBE-GGA.

## Properties
energy of formation from the pure elements = -0.225 eV per atom
ρ = 10.8 Mg/m³

Lattice parameters (Å, degrees): 4.8671 4.8671 14.4974 90.00 90.00 90.00
Last column: nearest neighbours and their distance in Å.
Space group P4/mmm (No. 123)
One atom of each set of equivalent atoms:
Dy1 0.0000 0.0000 0.1666 (multiplicity 2)  12 Pb 3.43-3.48
Sc1 0.0000 0.0000 0.5000 (multiplicity 1)  12 Pb 3.38-3.44
Pb1 0.0000 0.5000 0.0000 (multiplicity 2)  4 Dy 3.43, 8 Pb 3.44-3.45
Pb2 0.0000 0.5000 0.3381 (multiplicity 4)  8 Pb 3.38-3.46, 2 Sc 3.38, 2 Dy 3.48
Pb3 0.5000 0.5000 0.1689 (multiplicity 2)  4 Dy 3.44, 8 Pb 3.45-3.46
Pb4 0.5000 0.5000 0.5000 (multiplicity 1)  8 Pb 3.38, 4 Sc 3.44



[3]
Here is a relaxed Dy3ScPb2 crystal from the Alexandria database. Energies are from PBE-GGA.

## Properties
energy of formation from the pure elements = -0.425 eV per atom
ρ = 9.2 Mg/m³

Lattice parameters (Å, degrees): 6.3898 16.8120 6.3755 90.00 90.00 90.00
Last column: nearest neighbours and their distance in Å.
Space group Ibam (No. 72)
One atom of each set of equivalent atoms:
Dy1 0.0000 0.0000 0.2500 (multiplicity 4)  2 Dy 3.19, 2 Sc 3.19, 4 Pb 3.27
Dy2 0.2496 0.1707 0.0000 (multiplicity 8)  5 Pb 3.20-3.28
Sc1 0.0000 0.5000 0.2500 (multiplicity 4)  2 Sc 3.19, 2 Dy 3.19, 4 Pb 3.22
Pb1 0.2430 0.3612 0.0000 (multiplicity 8)  7 Dy 3.20-3.28, 2 Sc 3.22



[4]
Here is a relaxed DySc2Pb crystal from the Alexandria database. Energies are from PBE-GGA.

## Properties
energy of formation from the pure elements = -0.237 eV per atom
excess energy over the best structure of this formula in the dataset = 0.37 eV per formula unit
ρ = 7.0 Mg/m³

Lattice parameters (Å, degrees): 4.1549 11.9327 8.7830 90.00 90.00 90.00
Last column: nearest neighbours and their distance in Å.
Space group Cmcm (No. 63)
One atom of each set of equivalent atoms:
Dy1 0.0000 0.0515 0.2500 (multiplicity 4)  3 Pb 3.23-3.49, 8 Sc 3.47-3.51
Sc1 0.0000 0.3688 0.0529 (multiplicity 8)  3 Pb 3.01-3.07, 1 Sc 3.27
Pb1 0.0000 0.2410 0.7500 (multiplicity 4)  6 Sc 3.01-3.07, 2 Dy 3.23



[5]
Here is a relaxed Dy3Sc2Pb4 crystal from the Alexandria database. Energies are from PBE-GGA.

## Properties
energy of formation from the pure elements = -0.414 eV per atom
excess energy over the best structure of this formula in the dataset = 0.00 eV per formula unit
ρ = 9.3 Mg/m³

Lattice parameters (Å, degrees): 12.5357 4.9726 9.6571 90.00 123.81 90.00
Last column: nearest neighbours and their distance in Å.
Space group C2/m (No. 12)
One atom of each set of equivalent atoms:
Dy1 0.0000 0.0000 0.0000 (multiplicity 2)  6 Pb 3.18-3.46, 4 Sc 3.56
Dy2 0.1526 0.5000 0.6926 (multiplicity 4)  7 Pb 3.17-3.48, 1 Sc 3.55
Sc1 0.1413 0.5000 0.3167 (multiplicity 4)  4 Pb 2.90-3.07
Pb1 0.0723 0.0000 0.4022 (multiplicity 4)  3 Sc 2.90-3.07
Pb2 0.1707 0.5000 0.0335 (multiplicity 4)  1 Sc 2.96, 3 Dy 3.17-3.18



[6]
Here is a relaxed DySc2Pb crystal from the Alexandria database. Energies are from PBE-GGA.

## Properties
energy of formation from the pure elements = -0.094 eV per atom
excess energy over the best structure of this formula in the dataset = 0.95 eV per formula unit
ρ = 7.6 Mg/m³

Lattice parameters (Å, degrees): 7.3710 7.3710 7.3710 90.00 90.00 90.00
Last column: nearest neighbours and their distance in Å.
Space group Fm-3m (No. 225)
One atom of each set of equivalent atoms:
Dy1 0.0000 0.0000 0.0000 (multiplicity 4)  8 Sc 3.19
Sc1 0.2500 0.2500 0.2500 (multiplicity 8)  4 Dy 3.19, 4 Pb 3.19
Pb1 0.0000 0.0000 0.5000 (multiplicity 4)  8 Sc 3.19



[7]
Here is a relaxed DySc2Pb crystal from the Alexandria database. Energies are from PBE-GGA.

## Properties
energy of formation from the pure elements = -0.154 eV per atom
excess energy over the best structure of this formula in the dataset = 0.71 eV per formula unit
ρ = 7.2 Mg/m³

Lattice parameters (Å, degrees): 3.5654 3.5654 8.2890 90.00 90.00 90.00
Last column: nearest neighbours and their distance in Å.
Space group P4/mmm (No. 123)
One atom of each set of equivalent atoms:
Dy1 0.0000 0.0000 0.0000 (multiplicity 1)  8 Sc 3.35, 4 Dy 3.57
Sc1 0.5000 0.5000 0.2662 (multiplicity 2)  4 Pb 3.18, 4 Dy 3.35
Pb1 0.0000 0.0000 0.5000 (multiplicity 1)  8 Sc 3.18



[8]
Here is a relaxed Dy3ScPb4 crystal from the Alexandria database. Energies are from PBE-GGA.

## Properties
energy of formation from the pure elements = -0.410 eV per atom
ρ = 10.2 Mg/m³

Lattice parameters (Å, degrees): 10.9871 6.3508 6.3521 90.00 90.00 90.00
Last column: nearest neighbours and their distance in Å.
Space group Pmn2_1 (No. 31)
One atom of each set of equivalent atoms:
Dy1 0.0000 0.9998 0.0000 (multiplicity 2)  8 Pb 3.17-3.54
Dy2 0.2501 0.2568 0.2493 (multiplicity 4)  6 Pb 3.16-3.53, 2 Sc 3.53
Sc1 0.0000 0.4995 0.4994 (multiplicity 2)  4 Pb 3.17-3.18, 4 Dy 3.53
Pb1 0.0000 0.9998 0.4998 (multiplicity 2)  2 Sc 3.17-3.18, 2 Dy 3.17-3.18, 4 Pb 3.53-3.54
Pb2 0.0000 0.4998 0.9996 (multiplicity 2)  2 Sc 3.18, 6 Dy 3.18-3.53
Pb3 0.2499 0.2458 0.7493 (multiplicity 4)  6 Dy 3.16-3.54, 2 Pb 3.53-3.54



[9]
Here is a relaxed Dy2Sc3Pb2 crystal from the Alexandria database. Energies are from PBE-GGA.

## Properties
energy of formation from the pure elements = -0.307 eV per atom
ρ = 7.6 Mg/m³

Lattice parameters (Å, degrees): 11.7340 4.3039 8.1782 90.00 111.60 90.00
Last column: nearest neighbours and their distance in Å.
Space group C2/m (No. 12)
One atom of each set of equivalent atoms:
Dy1 0.1315 0.0000 0.2833 (multiplicity 4)  4 Pb 3.19-3.51, 6 Sc 3.49-3.54
Sc1 0.0000 0.5000 0.5000 (multiplicity 2)  4 Pb 2.99, 2 Sc 3.34
Sc2 0.1164 0.5000 0.9394 (multiplicity 4)  3 Pb 3.05-3.06, 2 Sc 3.23-3.34
Pb1 0.1660 0.0000 0.7103 (multiplicity 4)  5 Sc 2.99-3.06, 2 Dy 3.19



[10]
Here is a relaxed Dy3Sc2Pb3 crystal from the Alexandria database. Energies are from PBE-GGA.

## Properties
energy of formation from the pure elements = -0.529 eV per atom
ρ = 9.1 Mg/m³

Lattice parameters (Å, degrees): 8.8879 8.8879 6.3640 90.00 90.00 120.00
Last column: nearest neighbours and their distance in Å.
Space group P6_3/mcm (No. 193)
One atom of each set of equivalent atoms:
Dy1 0.0000 0.2376 0.2500 (multiplicity 6)  3 Pb 3.10-3.22
Sc1 0.3333 0.6667 0.0000 (multiplicity 4)  6 Pb 3.15, 2 Sc 3.18
Pb1 0.0000 0.4000 0.7500 (multiplicity 6)  3 Dy 3.10-3.22, 4 Sc 3.15



[11]
Here is a relaxed Dy5ScPb4 crystal from the Alexandria database. Energies are from PBE-GGA.

## Properties
energy of formation from the pure elements = -0.198 eV per atom
ρ = 9.2 Mg/m³

Lattice parameters (Å, degrees): 17.4601 3.6076 9.6183 90.00 90.89 90.00
Last column: nearest neighbours and their distance in Å.
Space group C2/m (No. 12)
One atom of each set of equivalent atoms:
Dy1 0.0000 0.0000 0.0000 (multiplicity 2)  4 Pb 3.12
Dy2 0.1559 0.5000 0.2616 (multiplicity 4)  4 Pb 3.17-3.50
Dy3 0.1888 0.5000 0.8919 (multiplicity 4)  1 Pb 3.19, 2 Dy 3.47
Sc1 0.0000 0.0000 0.5000 (multiplicity 2)  6 Pb 2.96-3.18
Pb1 0.0254 0.5000 0.7397 (multiplicity 4)  2 Sc 2.96, 4 Dy 3.12-3.19
Pb2 0.1782 0.0000 0.5716 (multiplicity 4)  1 Sc 3.18, 3 Dy 3.29-3.50, 2 Pb 3.40



[12]
Here is a relaxed DyScZnPb crystal from the Alexandria database. Energies are from PBE-GGA.

## Properties
energy of formation from the pure elements = -0.332 eV per atom
ρ = 8.5 Mg/m³

Lattice parameters (Å, degrees): 7.2180 7.2180 7.2180 90.00 90.00 90.00
Last column: nearest neighbours and their distance in Å.
Space group F-43m (No. 216)
One atom of each set of equivalent atoms:
Dy1 0.0000 0.0000 0.0000 (multiplicity 4)  4 Pb 3.13, 4 Zn 3.13
Sc1 0.0000 0.0000 0.5000 (multiplicity 4)  4 Pb 3.13, 4 Zn 3.13
Zn1 0.2500 0.2500 0.2500 (multiplicity 4)  4 Dy 3.13, 4 Sc 3.13
Pb1 0.2500 0.2500 0.7500 (multiplicity 4)  4 Dy 3.13, 4 Sc 3.13